1.
Here is a relaxed structure of CaMnOs from the Alexandria database. Energies are from PBE-GGA.

Results
- ΔE to the lowest computed polymorph: 519 meV/atom
- E_tot: -6.59 eV/atom
- Calculated formation energy: 0.88 eV per atom
- D(E_F): 10.564 states/eV per cell

Cell and atoms, written as CIF:
```
data_CaMnOs
_symmetry_space_group_name_H-M 'F -4 3 m'
_symmetry_Int_Tables_number 216
_symmetry_space_group_name_Hall 'F -4 2 3'
_cell_length_a 6.007
_cell_length_b 6.007
_cell_length_c 6.007
_cell_angle_alpha 90.00
_cell_angle_beta 90.00
_cell_angle_gamma 90.00
loop_
_atom_site_label
_atom_site_type_symbol
_atom_site_fract_x
_atom_site_fract_y
_atom_site_fract_z
Ca1 Ca 0.000 0.000 0.000
Mn1 Mn 0.250 0.250 0.250
Os1 Os 0.000 0.000 0.500
```



2.
Here is a relaxed structure of Dy2Tl3In3 from the Alexandria database. Energies are from PBE-GGA.

Results
- E_tot: -3.38 eV/atom
- Calculated formation energy: -0.31 eV per atom
- D(E_F): 3.503 states/eV per cell

Cell and atoms, written as CIF:
```
data_Dy2Tl3In3
_symmetry_space_group_name_H-M 'P m m m'
_symmetry_Int_Tables_number 47
_symmetry_space_group_name_Hall '-P 2 2'
_cell_length_a 4.700
_cell_length_b 4.744
_cell_length_c 9.349
_cell_angle_alpha 90.00
_cell_angle_beta 90.00
_cell_angle_gamma 90.00
loop_
_atom_site_label
_atom_site_type_symbol
_atom_site_fract_x
_atom_site_fract_y
_atom_site_fract_z
Dy1 Dy 0.000 0.000 0.248
Tl1 Tl 0.000 0.500 0.500
Tl2 Tl 0.500 0.000 0.000
Tl3 Tl 0.500 0.000 0.500
In1 In 0.000 0.500 0.000
In2 In 0.500 0.500 0.246
```



3.
Here is a relaxed structure of InOsCl2 from the Alexandria database. Energies are from PBE-GGA.

Results
- ΔE to the lowest computed polymorph: 327 meV/atom
- Formation energy (no corrections): 339 meV per atom
- E_tot: -4.08 eV/atom
- D(E_F): 2.872 states/eV per cell

Cell and atoms, written as CIF:
```
data_InOsCl2
_symmetry_space_group_name_H-M 'P 4 m m'
_symmetry_Int_Tables_number 99
_symmetry_space_group_name_Hall 'P 4 -2'
_cell_length_a 3.136
_cell_length_b 3.136
_cell_length_c 8.618
_cell_angle_alpha 90.00
_cell_angle_beta 90.00
_cell_angle_gamma 90.00
loop_
_atom_site_label
_atom_site_type_symbol
_atom_site_fract_x
_atom_site_fract_y
_atom_site_fract_z
In1 In 0.000 0.000 0.000
Os1 Os 0.500 0.500 0.206
Cl1 Cl 0.000 0.000 0.385
Cl2 Cl 0.500 0.500 0.785
```



4.
Here is a relaxed structure of CaSiTeN2 from the Alexandria database. Energies are from PBE-GGA.

Results
- ΔE to the lowest computed polymorph: 1074 meV/atom
- Formation energy (no corrections): 1446 meV per atom
- E_tot: -4.00 eV/atom
- D(E_F): 1.810 states/eV per cell

Cell and atoms, written as CIF:
```
data_CaSiTeN2
_symmetry_space_group_name_H-M 'P 4/m m m'
_symmetry_Int_Tables_number 123
_symmetry_space_group_name_Hall '-P 4 2'
_cell_length_a 4.504
_cell_length_b 4.504
_cell_length_c 6.348
_cell_angle_alpha 90.00
_cell_angle_beta 90.00
_cell_angle_gamma 90.00
loop_
_atom_site_label
_atom_site_type_symbol
_atom_site_fract_x
_atom_site_fract_y
_atom_site_fract_z
Ca1 Ca 0.000 0.000 0.000
Si1 Si 0.500 0.500 0.500
Te1 Te 0.000 0.000 0.500
N1 N 0.000 0.500 0.000
```



5.
Here is a relaxed structure of FeHgRu2 from the Alexandria database. Energies are from PBE-GGA.

Results
- E_tot: -6.42 eV/atom
- Calculated formation energy: 0.41 eV per atom
- D(E_F): 11.895 states/eV per cell

Cell and atoms, written as CIF:
```
data_FeHgRu2
_symmetry_space_group_name_H-M 'R -3 m'
_symmetry_Int_Tables_number 166
_symmetry_space_group_name_Hall '-R 3 2"'
_cell_length_a 2.8020
_cell_length_b 2.8020
_cell_length_c 26.8720
_cell_angle_alpha 90.00
_cell_angle_beta 90.00
_cell_angle_gamma 120.00
loop_
_atom_site_label
_atom_site_type_symbol
_atom_site_fract_x
_atom_site_fract_y
_atom_site_fract_z
Fe1 Fe 0.0000 0.0000 0.0000
Hg1 Hg 0.0000 0.0000 0.5000
Ru1 Ru 0.0000 0.0000 0.2600
```



6.
Here is a relaxed structure of Sm2YFe9 from the Alexandria database. Energies are from PBE-GGA.

Results
- E_tot: -7.69 eV/atom
- Calculated formation energy: -0.02 eV per atom
- D(E_F): 40.842 states/eV per cell

Cell and atoms, written as CIF:
```
data_Sm2YFe9
_symmetry_space_group_name_H-M 'R -3 m'
_symmetry_Int_Tables_number 166
_symmetry_space_group_name_Hall '-R 3 2"'
_cell_length_a 5.1388
_cell_length_b 5.1388
_cell_length_c 24.6265
_cell_angle_alpha 90.00
_cell_angle_beta 90.00
_cell_angle_gamma 120.00
loop_
_atom_site_label
_atom_site_type_symbol
_atom_site_fract_x
_atom_site_fract_y
_atom_site_fract_z
Sm1 Sm 0.0000 0.0000 0.1416
Y1 Y 0.0000 0.0000 0.0000
Fe1 Fe 0.0000 0.0000 0.3328
Fe2 Fe 0.0000 0.0000 0.5000
Fe3 Fe 0.0027 0.5013 0.0800
```



7.
Here is a relaxed structure of NaPbI2O from the Alexandria database. Energies are from PBE-GGA.

Results
- ΔE to the lowest computed polymorph: 0 meV/atom
- Formation energy (no corrections): -643 meV per atom
- E_tot: -3.26 eV/atom
- D(E_F): 1.008 states/eV per cell

Cell and atoms, written as CIF:
```
data_NaPbI2O
_symmetry_space_group_name_H-M 'P 4/m m m'
_symmetry_Int_Tables_number 123
_symmetry_space_group_name_Hall '-P 4 2'
_cell_length_a 6.131
_cell_length_b 6.131
_cell_length_c 4.223
_cell_angle_alpha 90.00
_cell_angle_beta 90.00
_cell_angle_gamma 90.00
loop_
_atom_site_label
_atom_site_type_symbol
_atom_site_fract_x
_atom_site_fract_y
_atom_site_fract_z
Na1 Na 0.000 0.000 0.000
Pb1 Pb 0.500 0.500 0.500
I1 I 0.000 0.500 0.500
O1 O 0.500 0.500 0.000
```



8.
Here is a relaxed structure of Pm3Al2Zn from the Alexandria database. Energies are from PBE-GGA.

Results
- E_tot: -4.19 eV/atom
- Calculated formation energy: -0.35 eV per atom
- D(E_F): 4.440 states/eV per cell

Cell and atoms, written as CIF:
```
data_Pm3Al2Zn
_symmetry_space_group_name_H-M 'P 4/m m m'
_symmetry_Int_Tables_number 123
_symmetry_space_group_name_Hall '-P 4 2'
_cell_length_a 3.660
_cell_length_b 3.660
_cell_length_c 11.256
_cell_angle_alpha 90.00
_cell_angle_beta 90.00
_cell_angle_gamma 90.00
loop_
_atom_site_label
_atom_site_type_symbol
_atom_site_fract_x
_atom_site_fract_y
_atom_site_fract_z
Pm1 Pm 0.000 0.000 0.000
Pm2 Pm 0.000 0.000 0.338
Al1 Al 0.500 0.500 0.171
Zn1 Zn 0.500 0.500 0.500
```



9.
Here is a relaxed structure of Pm6Dy2Tm3Mg from the Alexandria database. Energies are from PBE-GGA.

Results
- E_tot: -4.37 eV/atom
- Calculated formation energy: 0.02 eV per atom
- D(E_F): 24.853 states/eV per cell

Cell and atoms, written as CIF:
```
data_Pm6Dy2Tm3Mg
_symmetry_space_group_name_H-M 'C 1 2/m 1'
_symmetry_Int_Tables_number 12
_symmetry_space_group_name_Hall '-C 2y'
_cell_length_a 6.182
_cell_length_b 10.714
_cell_length_c 11.705
_cell_angle_alpha 90.00
_cell_angle_beta 100.18
_cell_angle_gamma 90.00
loop_
_atom_site_label
_atom_site_type_symbol
_atom_site_fract_x
_atom_site_fract_y
_atom_site_fract_z
Pm1 Pm 0.249 0.166 0.250
Pm2 Pm 0.250 0.000 0.749
Dy1 Dy 0.000 0.333 0.000
Tm1 Tm 0.000 0.166 0.500
Tm2 Tm 0.000 0.500 0.500
Mg1 Mg 0.000 0.000 0.000
```



10.
Here is a relaxed structure of Nd12AlZn6 from the Alexandria database. Energies are from PBE-GGA.

Results
- E_tot: -3.75 eV/atom
- Calculated formation energy: -0.14 eV per atom
- D(E_F): 45.328 states/eV per cell

Cell and atoms, written as CIF:
```
data_Nd12AlZn6
_symmetry_space_group_name_H-M 'I m -3'
_symmetry_Int_Tables_number 204
_symmetry_space_group_name_Hall '-I 2 2 3'
_cell_length_a 10.288
_cell_length_b 10.288
_cell_length_c 10.288
_cell_angle_alpha 90.00
_cell_angle_beta 90.00
_cell_angle_gamma 90.00
loop_
_atom_site_label
_atom_site_type_symbol
_atom_site_fract_x
_atom_site_fract_y
_atom_site_fract_z
Nd1 Nd 0.000 0.193 0.282
Al1 Al 0.000 0.000 0.000
Zn1 Zn 0.000 0.378 0.500
```



11.
Here is a relaxed structure of NdZrSc from the Alexandria database. Energies are from PBE-GGA.

Results
- ΔE to the lowest computed polymorph: 0 meV/atom
- E_tot: -6.46 eV/atom
- Calculated formation energy: 0.09 eV per atom
- D(E_F): 9.210 states/eV per cell

Cell and atoms, written as CIF:
```
data_NdZrSc
_symmetry_space_group_name_H-M 'I 4 m m'
_symmetry_Int_Tables_number 107
_symmetry_space_group_name_Hall 'I 4 -2'
_cell_length_a 3.298
_cell_length_b 3.298
_cell_length_c 14.929
_cell_angle_alpha 90.00
_cell_angle_beta 90.00
_cell_angle_gamma 90.00
loop_
_atom_site_label
_atom_site_type_symbol
_atom_site_fract_x
_atom_site_fract_y
_atom_site_fract_z
Nd1 Nd 0.000 0.000 0.000
Zr1 Zr 0.000 0.000 0.327
Sc1 Sc 0.000 0.000 0.684
```



12.
Here is a relaxed structure of DyTm3Ni8 from the Alexandria database. Energies are from PBE-GGA.

Results
- E_tot: -5.84 eV/atom
- Calculated formation energy: -0.48 eV per atom
- D(E_F): 20.400 states/eV per cell

Cell and atoms, written as CIF:
```
data_DyTm3Ni8
_symmetry_space_group_name_H-M 'R 3 m'
_symmetry_Int_Tables_number 160
_symmetry_space_group_name_Hall 'R 3 -2"'
_cell_length_a 5.0283
_cell_length_b 5.0283
_cell_length_c 24.7060
_cell_angle_alpha 90.00
_cell_angle_beta 90.00
_cell_angle_gamma 120.00
loop_
_atom_site_label
_atom_site_type_symbol
_atom_site_fract_x
_atom_site_fract_y
_atom_site_fract_z
Dy1 Dy 0.0000 0.0000 0.0000
Tm1 Tm 0.0000 0.0000 0.3756
Tm2 Tm 0.0000 0.0000 0.5002
Tm3 Tm 0.0000 0.0000 0.8749
Ni1 Ni 0.0000 0.0000 0.1877
Ni2 Ni 0.0000 0.0000 0.6878
Ni3 Ni 0.9998 0.4999 0.9372
Ni4 Ni 0.0010 0.5005 0.4380
```